one.
Below is crystalline Th3Si4Os2 at its relaxed geometry, with properties calculated at the PBE-GGA level.

Computed properties:
Space group: C2/m (12)
N(E_F) (states/eV/f.u.): 4.106

abc: 4.2357 5.9384 8.2666
angles: 107.15 90.00 110.89
Last column: nearest neighbours and their distance in Å.
Positions (direct):
Th (0.3844, 0.7687, 0.3032)  7 Si 2.98-3.21, 4 Os 3.13-3.32
Th (0.6156, 0.2313, 0.6968)  7 Si 2.98-3.21, 4 Os 3.13-3.32
Th (0.0000, 0.0000, 0.0000)  8 Si 3.10-3.41
Si (0.8942, 0.7885, 0.5996)  3 Os 2.40-2.47
Si (0.7149, 0.4298, 0.0759)  1 Os 2.43, 2 Si 2.70
Si (0.2851, 0.5702, 0.9241)  1 Os 2.43, 2 Si 2.70
Si (0.1058, 0.2115, 0.4004)  3 Os 2.40-2.47
Os (0.6938, 0.3876, 0.3594)  4 Si 2.40-2.47
Os (0.3062, 0.6124, 0.6406)  4 Si 2.40-2.47

two.
Below is crystalline Th3Si4Os2 at its relaxed geometry, with properties calculated at the PBE-GGA level.

Computed properties:
Space group: C2/m (12)
N(E_F) (states/eV/f.u.): 6.242

abc: 4.1681 5.9692 8.2169
angles: 101.56 90.00 110.43
Last column: nearest neighbours and their distance in Å.
Positions (direct):
Si (0.9502, 0.9004, 0.6160)  1 Si 2.40, 2 Os 2.40
Si (0.7297, 0.4594, 0.0693)  1 Os 2.41, 2 Si 2.46
Si (0.2703, 0.5406, 0.9307)  1 Os 2.41, 2 Si 2.46
Si (0.0498, 0.0996, 0.3840)  1 Si 2.40, 2 Os 2.40
Th (0.6691, 0.3382, 0.6544)  4 Os 3.09-3.27, 8 Si 3.11-3.33
Th (0.3309, 0.6618, 0.3456)  4 Os 3.09-3.27, 8 Si 3.11-3.33
Th (0.0000, 0.0000, 0.0000)  4 Os 3.07, 8 Si 3.08-3.26
Os (0.3997, 0.7994, 0.7308)  3 Si 2.40-2.41
Os (0.6003, 0.2006, 0.2692)  3 Si 2.40-2.41

Most stable structure, least stable structure: two, one.

one.
Below is crystalline ThSi3Os3 at its relaxed geometry, with properties calculated at the PBE-GGA level.

Computed properties:
Space group: Pm-3n (223)
N(E_F) (states/eV/f.u.): 5.153

abc: 6.5235 6.5235 6.5235
angles: 90.00 90.00 90.00
Last column: nearest neighbours and their distance in Å.
Positions (direct):
Os (0.5000, 0.2500, 0.0000)  4 Si 2.31
Os (0.2500, 0.0000, 0.5000)  4 Si 2.31
Os (0.7500, 0.0000, 0.5000)  4 Si 2.31
Os (0.0000, 0.5000, 0.2500)  4 Si 2.31
Os (0.5000, 0.7500, 0.0000)  4 Si 2.31
Os (0.0000, 0.5000, 0.7500)  4 Si 2.31
Th (0.5000, 0.5000, 0.5000)  12 Os 3.65, 12 Si 3.65
Th (0.0000, 0.0000, 0.0000)  12 Os 3.65, 12 Si 3.65
Si (0.7500, 0.5000, 0.0000)  4 Os 2.31
Si (0.5000, 0.0000, 0.7500)  4 Os 2.31
Si (0.2500, 0.5000, 0.0000)  4 Os 2.31
Si (0.0000, 0.2500, 0.5000)  4 Os 2.31
Si (0.5000, 0.0000, 0.2500)  4 Os 2.31
Si (0.0000, 0.7500, 0.5000)  4 Os 2.31

two.
Below is crystalline ThSi3Os3 at its relaxed geometry, with properties calculated at the PBE-GGA level.

Computed properties:
Space group: R-3 (148)
N(E_F) (states/eV/f.u.): 3.712

abc: 6.8304 6.8304 7.7229
angles: 63.75 63.75 60.00
Last column: nearest neighbours and their distance in Å.
Positions (direct):
Th (0.6649, 0.6649, 0.0052)  6 Si 3.05-3.21, 6 Os 3.12-3.23
Th (0.3351, 0.3351, 0.9948)  6 Si 3.05-3.21, 6 Os 3.12-3.23
Os (0.7535, 0.0951, 0.6486)  4 Si 2.34-2.46
Os (0.4973, 0.2465, 0.3514)  4 Si 2.34-2.46
Os (0.2465, 0.9049, 0.3514)  4 Si 2.34-2.46
Os (0.0951, 0.5027, 0.6486)  4 Si 2.34-2.46
Os (0.5027, 0.7535, 0.6486)  4 Si 2.34-2.46
Os (0.9049, 0.4973, 0.3514)  4 Si 2.34-2.46
Si (0.6401, 0.8900, 0.2828)  4 Os 2.34-2.46
Si (0.1100, 0.8130, 0.7172)  4 Os 2.34-2.46
Si (0.8130, 0.3599, 0.7172)  4 Os 2.34-2.46
Si (0.8900, 0.1870, 0.2828)  4 Os 2.34-2.46
Si (0.1870, 0.6401, 0.2828)  4 Os 2.34-2.46
Si (0.3599, 0.1100, 0.7172)  4 Os 2.34-2.46

Most stable structure, least stable structure: two, one.